Computed, not measured: an optimized crystal structure of ScCrGe2W at the PBE level of DFT.

Unit cell a=4.510 b=4.707 c=4.510 alpha=90.00 beta=90.00 gamma=90.00
Fractional positions:
Sc 0.500 0.500 0.500
Cr 0.000 0.000 0.000
Ge 0.000 0.000 0.500
Ge 0.500 0.000 0.000
W 0.000 0.500 0.000

VASP energy ... -7.0490 eV/atom